[1]
## SrCrNi (PBE-GGA)

Data for a relaxed structure of SrCrNi.

## Properties
VASP energy: -5.30 eV/atom
excess energy over the best structure of this formula in the dataset: 77 meV per atom
space group: Pnma
formation energy from the elements: 0.40 eV/atom
mass density: 4.6 g/cm3
total moment: 17.63 μB per cell
DOS at the Fermi energy: 0.917 states/eV/atom

a = 5.7043 Å, b = 4.1836 Å, c = 11.9781 Å
α = 90.00°, β = 90.00°, γ = 90.00°
Element x y z (fractional)
Sr (0.8782, 0.2500, 0.3718)
Sr (0.6218, 0.7500, 0.8718)
Sr (0.1218, 0.7500, 0.6282)
Sr (0.3782, 0.2500, 0.1282)
Cr (0.1267, 0.2500, 0.8569)
Cr (0.3733, 0.7500, 0.3569)
Cr (0.8733, 0.7500, 0.1431)
Cr (0.6267, 0.2500, 0.6431)
Ni (0.3972, 0.2500, 0.4672)
Ni (0.1028, 0.7500, 0.9672)
Ni (0.6028, 0.7500, 0.5328)
Ni (0.8972, 0.2500, 0.0328)



[2]
## SrCd4Hg8 (PBE-GGA)

Data for a relaxed structure of SrCd4Hg8.

## Properties
VASP energy: -0.70 eV/atom
space group: I4/mmm
formation energy from the elements: -0.11 eV/atom
mass density: 10.7 g/cm3
total moment: 0.00 μB per cell
DOS at the Fermi energy: 0.384 states/eV/atom

a = 6.1199 Å, b = 7.9767 Å, c = 7.9767 Å
α = 81.54°, β = 67.44°, γ = 67.44°
Element x y z (fractional)
Sr (0.0000, 0.0000, 0.0000)
Cd (0.0000, 0.0000, 0.5000)
Cd (0.5000, 0.0000, 0.5000)
Cd (0.0000, 0.5000, 0.0000)
Cd (0.5000, 0.5000, 0.0000)
Hg (0.0000, 0.3489, 0.6511)
Hg (0.0000, 0.6511, 0.3489)
Hg (0.3489, 0.6511, 0.6511)
Hg (0.6511, 0.3489, 0.3489)
Hg (0.5000, 0.7877, 0.2123)
Hg (0.5000, 0.2123, 0.7877)
Hg (0.2877, 0.2123, 0.2123)
Hg (0.7123, 0.7877, 0.7877)



[3]
## LiTlSi (PBE-GGA)

Data for a relaxed structure of LiTlSi.

## Properties
VASP energy: -3.06 eV/atom
space group: Imm2
uncorrected formation energy: 0.17 eV per atom
mass density: 6.6 g/cm3
total moment: 0.00 μB per cell
DOS at the Fermi energy: 0.429 states/eV/atom

a = 5.3006 Å, b = 5.3006 Å, c = 5.3006 Å
α = 143.73°, β = 136.09°, γ = 58.22°
Element x y z (fractional)
Li (0.9877, 0.9877, 0.0000)
Si (0.3420, 0.3420, 0.0000)
Tl (0.6703, 0.6703, 0.0000)



[4]
## HgIrSe2 (PBE-GGA)

Data for a relaxed structure of HgIrSe2.

## Properties
VASP energy: -3.41 eV/atom
space group: Cmmm
uncorrected formation energy: 0.62 eV per atom
mass density: 11.9 g/cm3
total moment: 0.00 μB per cell
DOS at the Fermi energy: 0.646 states/eV/atom

a = 4.7778 Å, b = 4.7778 Å, c = 3.5057 Å
α = 90.00°, β = 90.00°, γ = 106.68°
Element x y z (fractional)
Hg (0.5000, 0.0000, 0.5000)
Ir (0.0000, 0.5000, 0.5000)
Se (0.0000, 0.0000, 0.0000)
Se (0.5000, 0.5000, 0.0000)



[5]
## Li3Cu8Ni2 (PBE-GGA)

Data for a relaxed structure of Li3Cu8Ni2.

## Properties
VASP energy: -3.77 eV/atom
excess energy over the best structure of this formula in the dataset: 0 meV per atom
space group: C2/m
formation energy from the elements: 0.08 eV/atom
mass density: 6.4 g/cm3
total moment: 0.00 μB per cell
DOS at the Fermi energy: 0.581 states/eV/atom

a = 4.6611 Å, b = 6.8474 Å, c = 7.0766 Å
α = 118.93°, β = 62.20°, γ = 90.00°
Element x y z (fractional)
Li (0.5000, 0.0000, 0.0000)
Li (0.0000, 0.2175, 0.0000)
Li (0.0000, 0.7825, 0.0000)
Cu (0.7864, 0.3999, 0.7999)
Cu (0.2136, 0.6001, 0.2001)
Cu (0.1501, 0.8157, 0.6314)
Cu (0.8499, 0.1843, 0.3686)
Cu (0.3097, 0.0259, 0.4188)
Cu (0.3097, 0.3928, 0.4188)
Cu (0.6903, 0.6072, 0.5812)
Cu (0.6903, 0.9741, 0.5812)
Ni (0.6908, 0.6154, 0.2309)
Ni (0.3092, 0.3846, 0.7691)



[6]
## TbTm3Bi4 (PBE-GGA)

Data for a relaxed structure of TbTm3Bi4.

## Properties
VASP energy: -5.00 eV/atom
excess energy over the best structure of this formula in the dataset: 4 meV per atom
space group: Cmmm
formation energy from the elements: -0.81 eV/atom
mass density: 10.0 g/cm3
total moment: 0.00 μB per cell
DOS at the Fermi energy: 0.155 states/eV/atom

a = 4.4490 Å, b = 7.6985 Å, c = 7.6985 Å
α = 109.46°, β = 90.00°, γ = 90.00°
Element x y z (fractional)
Tb (0.5000, 0.0000, 0.0000)
Tm (0.0000, 0.0000, 0.5000)
Tm (0.5000, 0.5000, 0.5000)
Tm (0.0000, 0.5000, 0.0000)
Bi (0.0000, 0.2530, 0.2530)
Bi (0.5000, 0.7485, 0.2515)
Bi (0.0000, 0.7470, 0.7470)
Bi (0.5000, 0.2515, 0.7485)



[7]
## Tl2CuF4 (PBE-GGA)

Data for a relaxed structure of Tl2CuF4.

## Properties
VASP energy: -4.01 eV/atom
excess energy over the best structure of this formula in the dataset: 19 meV per atom
space group: P4/mmm
uncorrected formation energy: -1.68 eV per atom
mass density: 6.1 g/cm3
total moment: 1.00 μB per cell

a = 3.6899 Å, b = 6.3807 Å, c = 6.3807 Å
α = 90.00°, β = 90.00°, γ = 90.00°
Element x y z (fractional)
Tl (0.5000, 0.0000, 0.5000)
Tl (0.5000, 0.5000, 0.0000)
Cu (0.0000, 0.0000, 0.0000)
F (0.0000, 0.7893, 0.7893)
F (0.0000, 0.2107, 0.2107)
F (0.0000, 0.7893, 0.2107)
F (0.0000, 0.2107, 0.7893)



[8]
## AcGa2Pb4 (PBE-GGA)

Data for a relaxed structure of AcGa2Pb4.

## Properties
VASP energy: -3.80 eV/atom
space group: Cmmm
formation energy from the elements: -0.22 eV/atom
mass density: 9.5 g/cm3
total moment: 0.00 μB per cell
DOS at the Fermi energy: 0.303 states/eV/atom

a = 4.7461 Å, b = 4.7348 Å, c = 9.5672 Å
α = 104.33°, β = 90.00°, γ = 90.00°
Element x y z (fractional)
Ac (0.0000, 0.0000, 0.0000)
Ga (0.5000, 0.5672, 0.1345)
Ga (0.5000, 0.4328, 0.8655)
Pb (0.5000, 0.8305, 0.6611)
Pb (0.0000, 0.6677, 0.3354)
Pb (0.5000, 0.1695, 0.3389)
Pb (0.0000, 0.3323, 0.6646)



[9]
## Bi3MoSe (PBE-GGA)

Data for a relaxed structure of Bi3MoSe.

## Properties
VASP energy: -4.03 eV/atom
excess energy over the best structure of this formula in the dataset: 703 meV per atom
space group: Pm-3m
uncorrected formation energy: 1.16 eV per atom
mass density: 8.0 g/cm3
total moment: 3.16 μB per cell
DOS at the Fermi energy: 0.396 states/eV/atom

a = 5.4915 Å, b = 5.4915 Å, c = 5.4915 Å
α = 90.00°, β = 90.00°, γ = 90.00°
Element x y z (fractional)
Mo (0.5000, 0.5000, 0.5000)
Bi (0.0000, 0.5000, 0.0000)
Bi (0.0000, 0.0000, 0.5000)
Bi (0.5000, 0.0000, 0.0000)
Se (0.0000, 0.0000, 0.0000)